{"formula": "Ac2Tb2O5", "functional": "PBE", "state": "relaxed", "polymorph_energy_mev_per_atom": 0, "magnetic_moment_mub_per_cell": 0.0, "energy_ev_per_cell": -68.2, "cell": [[8.143, 0.000, 0.000], [0.000, 4.397, 0.000], [0.000, 0.000, 4.397]], "species": ["Ac", "Ac", "O", "O", "O", "O", "O", "Tb", "Tb"], "fractional_positions": [[0.000, 0.000, 0.000], [0.500, 0.000, 0.000], [0.251, 0.500, 0.000], [0.749, 0.500, 0.000], [0.251, 0.000, 0.500], [0.749, 0.000, 0.500], [0.500, 0.500, 0.500], [0.236, 0.500, 0.500], [0.764, 0.500, 0.500]]}



{"formula": "Ac2Tb2O5", "functional": "PBE", "state": "relaxed", "polymorph_energy_mev_per_atom": 787, "magnetic_moment_mub_per_cell": 0.0, "energy_ev_per_cell": -61.1, "cell": [[-7.492, 3.205, 0.330], [-0.878, -2.429, 3.651], [1.533, 3.319, 2.577]], "species": ["Ac", "Ac", "O", "O", "O", "O", "O", "Tb", "Tb"], "fractional_positions": [[0.226, 0.500, 0.500], [0.774, 0.500, 0.500], [0.305, 0.500, 0.000], [0.695, 0.500, 0.000], [0.305, 0.000, 0.500], [0.695, 0.000, 0.500], [0.500, 0.500, 0.500], [0.000, 0.000, 0.000], [0.500, 0.000, 0.000]]}



{"formula": "AcTb2O4", "functional": "PBE", "state": "relaxed", "magnetic_moment_mub_per_cell": 0.3, "energy_ev_per_cell": -111.6, "cell": [[-6.231, 1.672, -2.752], [3.370, -5.749, -2.188], [-2.787, 0.195, 6.434]], "species": ["Ac", "Ac", "O", "O", "O", "O", "O", "O", "O", "O", "Tb", "Tb", "Tb", "Tb"], "fractional_positions": [[0.000, 0.000, 0.000], [0.750, 0.500, 0.250], [0.608, 0.217, 0.391], [0.174, 0.783, 0.391], [0.609, 0.783, 0.392], [0.141, 0.283, 0.424], [0.609, 0.217, 0.826], [0.141, 0.717, 0.858], [0.576, 0.717, 0.859], [0.142, 0.283, 0.859], [0.375, 0.750, 0.125], [0.875, 0.250, 0.625], [0.375, 0.750, 0.625], [0.375, 0.250, 0.625]]}